No. 1
{"formula": "Sc2BiRuSe", "functional": "PBE", "state": "optimized geometry", "m_tot_mub_per_fu": 0.0, "n_ef_per_ev_atom": 0.871, "final_energy_ev_per_cell": -30.25, "sg": "P4/mmm, No. 123", "lattice_angstrom": [[5.0580, 0.0000, 0.0000], [0.0000, 5.0520, 0.0000], [0.0000, 0.0000, 5.0580]], "species": ["Se", "Ru", "Bi", "Sc", "Sc"], "frac_coords": [[0.5000, 0.5000, 0.5000], [0.0000, 0.0000, 0.0000], [0.0000, 0.5000, 0.0000], [0.0000, 0.0000, 0.5000], [0.5000, 0.0000, 0.0000]]}

=====

No. 2
{"formula": "CrAgHg", "functional": "PBE", "state": "optimized geometry", "m_tot_mub_per_fu": 4.3, "n_ef_per_ev_atom": 0.416, "final_energy_ev_per_cell": -11.52, "formation_enthalpy_0k_ev_per_fu": 1.260, "sg": "P3m1, No. 156", "e_above_lowest_polymorph_ev_per_fu": 0.20, "lattice_angstrom": [[4.6798, 0.0000, 0.0000], [-2.3399, 4.0529, 0.0000], [0.0000, 0.0000, 3.0168]], "species": ["Cr", "Ag", "Hg"], "frac_coords": [[0.6667, 0.3333, 0.3320], [0.0000, 0.0000, 0.9714], [0.3333, 0.6667, 0.6966]]}

=====

Please write out number 1 again, unchanged.
{"formula": "Sc2BiRuSe", "functional": "PBE", "state": "optimized geometry", "m_tot_mub_per_fu": 0.0, "n_ef_per_ev_atom": 0.871, "final_energy_ev_per_cell": -30.25, "sg": "P4/mmm, No. 123", "lattice_angstrom": [[5.0580, 0.0000, 0.0000], [0.0000, 5.0520, 0.0000], [0.0000, 0.0000, 5.0580]], "species": ["Se", "Ru", "Bi", "Sc", "Sc"], "frac_coords": [[0.5000, 0.5000, 0.5000], [0.0000, 0.0000, 0.0000], [0.0000, 0.5000, 0.0000], [0.0000, 0.0000, 0.5000], [0.5000, 0.0000, 0.0000]]}